No. 1
This record from OQMD via LeMat-Bulk describes LuPPtO after structural relaxation. The functional is GGA-PBE.

Unit cell a=5.274 b=5.274 c=4.544 alpha=90.00 beta=90.00 gamma=90.00
Fractional positions:
Lu (0.000, 0.000, 0.500)
Lu (0.500, 0.500, 0.500)
O (0.000, 0.000, 0.000)
O (0.500, 0.500, 0.000)
P (0.000, 0.500, 0.493)
P (0.500, 0.000, 0.507)
Pt (0.500, 0.000, 0.006)
Pt (0.000, 0.500, 0.994)

Values from the calculation:
Its space-group type is P4/nmm. The value obtained for the mass density is 11.0 g/cm3. The offset from the most stable computed form is 880 meV per atom.

=====

No. 2
This record from OQMD via LeMat-Bulk describes HfAlIn after structural relaxation. The functional is GGA-PBE.

Unit cell a=4.718 b=4.718 c=4.718 alpha=60.00 beta=60.00 gamma=60.00
Fractional positions:
Al (0.250, 0.250, 0.250)
Hf (0.000, 0.000, 0.000)
In (0.750, 0.750, 0.750)

Values from the calculation:
Its space-group type is F-43m. The value obtained for the mass density is 7.2 g/cm3. The offset from the most stable computed form is 0 meV per atom.

=====

No. 3
This record from OQMD via LeMat-Bulk describes LiTaSb after structural relaxation. The functional is GGA-PBE.

Unit cell a=4.557 b=4.557 c=4.557 alpha=60.00 beta=60.00 gamma=60.00
Fractional positions:
Li (0.250, 0.250, 0.250)
Sb (0.000, 0.000, 0.000)
Ta (0.750, 0.750, 0.750)

Values from the calculation:
Its space-group type is F-43m. The value obtained for the mass density is 7.7 g/cm3. The offset from the most stable computed form is 0 meV per atom.

=====

No. 4
This record from OQMD via LeMat-Bulk describes RbNdCdTe3 after structural relaxation. The functional is GGA-PBE.

Unit cell a=16.536 b=4.611 c=12.224 alpha=90.00 beta=90.00 gamma=90.00
Fractional positions:
Cd (0.517, 0.750, 0.101)
Cd (0.017, 0.750, 0.399)
Cd (0.983, 0.250, 0.601)
Cd (0.483, 0.250, 0.899)
Nd (0.025, 0.250, 0.152)
Nd (0.525, 0.250, 0.348)
Nd (0.475, 0.750, 0.652)
Nd (0.975, 0.750, 0.848)
Rb (0.736, 0.250, 0.041)
Rb (0.236, 0.250, 0.459)
Rb (0.764, 0.750, 0.541)
Rb (0.264, 0.750, 0.959)
Te (0.904, 0.750, 0.083)
Te (0.411, 0.250, 0.121)
Te (0.143, 0.750, 0.244)
Te (0.643, 0.750, 0.256)
Te (0.911, 0.250, 0.379)
Te (0.404, 0.750, 0.417)
Te (0.596, 0.250, 0.583)
Te (0.089, 0.750, 0.621)
Te (0.357, 0.250, 0.744)
Te (0.857, 0.250, 0.756)
Te (0.589, 0.750, 0.879)
Te (0.096, 0.250, 0.917)

Values from the calculation:
Its space-group type is Pnma. The value obtained for the mass density is 5.2 g/cm3. The total energy is -90.0 eV/cell.